# 1
Computed, not measured: an optimized crystal structure of Sr2CrReC at the PBE-GGA level of DFT.

## Properties
The formation energy is 0.6861 eV/atom. The density of states at the Fermi level is 4.80 states/eV/cell.

a = 5.4936 Å, b = 5.4936 Å, c = 4.0003 Å
α = 90.00°, β = 90.00°, γ = 90.00°
Last column: nearest neighbours and their distance in Å.
Fractional coordinates of all 5 atoms:
Sr 0.0000 0.5000 0.0000  2 C 2.75
Sr 0.5000 0.0000 0.0000  2 C 2.75
Cr 0.0000 0.0000 0.5000  8 Sr 3.40
Re 0.5000 0.5000 0.5000  2 C 2.00
C 0.5000 0.5000 0.0000  2 Re 2.00

# 2
Computed, not measured: an optimized crystal structure of CrReTe2C at the PBE-GGA level of DFT.

## Properties
The calculation puts the total energy at -5.144 eV/atom. The density of states at the Fermi level is 8.08 states/eV/cell.

a = 4.9125 Å, b = 4.9125 Å, c = 4.5037 Å
α = 90.00°, β = 90.00°, γ = 90.00°
Last column: nearest neighbours and their distance in Å.
Fractional coordinates of all 5 atoms:
Cr 0.0000 0.0000 0.0000  2 Re 2.25, 4 Te 2.46
Re 0.0000 0.0000 0.5000  2 Cr 2.25
Te 0.0000 0.5000 0.0000  2 Cr 2.46
Te 0.5000 0.0000 0.0000  2 Cr 2.46
C 0.5000 0.5000 0.5000  8 Te 3.33, 4 Re 3.47

# 3
Computed, not measured: an optimized crystal structure of Cr2RhC4 at the PBE-GGA level of DFT.

## Properties
The formation energy is 1.7220 eV/atom. The density of states at the Fermi level is 13.01 states/eV/cell.

a = 3.9425 Å, b = 3.9425 Å, c = 10.1737 Å
α = 90.00°, β = 90.00°, γ = 90.00°
Last column: nearest neighbours and their distance in Å.
Fractional coordinates of all 14 atoms:
Cr 0.0000 0.0000 0.1183  1 C 1.78
Cr 0.0000 0.0000 0.8817  1 C 1.78
Cr 0.5000 0.5000 0.3817  1 C 1.78
Cr 0.5000 0.5000 0.6183  1 C 1.78
Rh 0.0000 0.0000 0.5000  6 C 1.97-2.10
Rh 0.5000 0.5000 0.0000  6 C 1.97-2.10
C 0.0000 0.0000 0.2934  1 Cr 1.78
C 0.0000 0.0000 0.7066  1 Cr 1.78
C 0.0000 0.5000 0.0000  2 Rh 1.97
C 0.0000 0.5000 0.5000  2 Rh 1.97
C 0.5000 0.0000 0.0000  2 Rh 1.97
C 0.5000 0.0000 0.5000  2 Rh 1.97
C 0.5000 0.5000 0.2066  1 Cr 1.78
C 0.5000 0.5000 0.7934  1 Cr 1.78

# 4
Computed, not measured: an optimized crystal structure of CrRh2C at the PBE-GGA level of DFT.

## Properties
The formation energy is 0.6918 eV/atom. The density of states at the Fermi level is 33.33 states/eV/cell.

a = 5.0314 Å, b = 5.0314 Å, c = 9.4300 Å
α = 90.00°, β = 90.00°, γ = 90.00°
Last column: nearest neighbours and their distance in Å.
Fractional coordinates of all 16 atoms:
Cr 0.0000 0.0000 0.0000  4 Rh 2.33
Cr 0.0000 0.5000 0.2500  4 Rh 2.33
Cr 0.5000 0.0000 0.7500  4 Rh 2.33
Cr 0.5000 0.5000 0.5000  4 Rh 2.33
Rh 0.1876 0.2500 0.6250  2 C 1.97
Rh 0.2500 0.6876 0.8750  2 C 1.97
Rh 0.2500 0.8124 0.3750  2 C 1.97
Rh 0.3124 0.2500 0.1250  2 C 1.97
Rh 0.6876 0.7500 0.1250  2 C 1.97
Rh 0.7500 0.1876 0.3750  2 C 1.97
Rh 0.7500 0.3124 0.8750  2 C 1.97
Rh 0.8124 0.7500 0.6250  2 C 1.97
C 0.0000 0.0000 0.5000  4 Rh 1.97
C 0.0000 0.5000 0.7500  4 Rh 1.97
C 0.5000 0.0000 0.2500  4 Rh 1.97
C 0.5000 0.5000 0.0000  4 Rh 1.97

# 5
Computed, not measured: an optimized crystal structure of Sc2CrRhC at the PBE-GGA level of DFT.

## Properties
The formation energy is -0.4161 eV/atom. The density of states at the Fermi level is 4.45 states/eV/cell.

a = 4.5193 Å, b = 4.5193 Å, c = 3.7702 Å
α = 90.00°, β = 90.00°, γ = 90.00°
Last column: nearest neighbours and their distance in Å.
Fractional coordinates of all 5 atoms:
Sc 0.0000 0.5000 0.0000  2 C 2.26
Sc 0.5000 0.0000 0.0000  2 C 2.26
Cr 0.0000 0.0000 0.5000  2 C 1.89
Rh 0.5000 0.5000 0.5000  8 Sc 2.94, 4 Cr 3.20
C 0.0000 0.0000 0.0000  2 Cr 1.89

# 6
Computed, not measured: an optimized crystal structure of CrSn2RhC at the PBE-GGA level of DFT.

## Properties
The formation energy is 0.5447 eV/atom. The offset from the most stable computed form is 0 meV per atom. The density of states at the Fermi level is 3.10 states/eV/cell.

a = 4.6906 Å, b = 4.6906 Å, c = 3.8070 Å
α = 90.00°, β = 90.00°, γ = 90.00°
Last column: nearest neighbours and their distance in Å.
Fractional coordinates of all 5 atoms:
Cr 0.0000 0.0000 0.0000  2 C 1.90
Sn 0.0000 0.5000 0.5000  2 C 2.35
Sn 0.5000 0.0000 0.5000  2 C 2.35
Rh 0.5000 0.5000 0.0000  8 Sn 3.02, 4 Cr 3.32
C 0.0000 0.0000 0.5000  2 Cr 1.90

# 7
Computed, not measured: an optimized crystal structure of CrSn2RhC at the PBE-GGA level of DFT.

## Properties
The formation energy is 0.9310 eV/atom. The offset from the most stable computed form is 386 meV per atom. The density of states at the Fermi level is 4.84 states/eV/cell.

a = 5.0610 Å, b = 5.0610 Å, c = 3.6857 Å
α = 90.00°, β = 90.00°, γ = 90.00°
Last column: nearest neighbours and their distance in Å.
Fractional coordinates of all 5 atoms:
Cr 0.0000 0.0000 0.0000  2 C 1.84
Sn 0.0000 0.5000 0.0000  2 Cr 2.53
Sn 0.5000 0.0000 0.0000  2 Cr 2.53
Rh 0.5000 0.5000 0.5000  8 Sn 3.13
C 0.0000 0.0000 0.5000  2 Cr 1.84

# 8
Computed, not measured: an optimized crystal structure of Cr2TcRhC at the PBE-GGA level of DFT.

## Properties
The formation energy is 0.0649 eV/atom. The offset from the most stable computed form is 0 meV per atom. The density of states at the Fermi level is 5.43 states/eV/cell.

a = 3.8885 Å, b = 3.8885 Å, c = 3.9905 Å
α = 90.00°, β = 90.00°, γ = 90.00°
Last column: nearest neighbours and their distance in Å.
Fractional coordinates of all 5 atoms:
Cr 0.0000 0.5000 0.0000  2 C 1.94
Cr 0.5000 0.0000 0.0000  2 C 1.94
Tc 0.0000 0.0000 0.5000  2 C 2.00
Rh 0.5000 0.5000 0.5000  4 Tc 2.75, 8 Cr 2.79
C 0.0000 0.0000 0.0000  4 Cr 1.94, 2 Tc 2.00

# 9
Computed, not measured: an optimized crystal structure of Cr2TcRhC at the PBE-GGA level of DFT.

## Properties
The formation energy is 0.1622 eV/atom. The offset from the most stable computed form is 97 meV per atom. The density of states at the Fermi level is 4.51 states/eV/cell.

a = 3.8979 Å, b = 3.8979 Å, c = 3.9309 Å
α = 90.00°, β = 90.00°, γ = 90.00°
Last column: nearest neighbours and their distance in Å.
Fractional coordinates of all 5 atoms:
Cr 0.0000 0.5000 0.0000  2 C 1.95
Cr 0.5000 0.0000 0.0000  2 C 1.95
Tc 0.0000 0.0000 0.5000  4 Rh 2.76, 8 Cr 2.77
Rh 0.5000 0.5000 0.5000  2 C 1.97
C 0.5000 0.5000 0.0000  4 Cr 1.95, 2 Rh 1.97

# 10
Computed, not measured: an optimized crystal structure of Ti2CrRhC at the PBE-GGA level of DFT.

## Properties
The formation energy is -0.4242 eV/atom. The density of states at the Fermi level is 5.79 states/eV/cell.

a = 4.1963 Å, b = 4.1963 Å, c = 3.7774 Å
α = 90.00°, β = 90.00°, γ = 90.00°
Last column: nearest neighbours and their distance in Å.
Fractional coordinates of all 5 atoms:
Ti 0.0000 0.5000 0.0000  2 C 2.10
Ti 0.5000 0.0000 0.0000  2 C 2.10
Cr 0.0000 0.0000 0.5000  2 C 1.89
Rh 0.5000 0.5000 0.5000  8 Ti 2.82, 4 Cr 2.97
C 0.0000 0.0000 0.0000  2 Cr 1.89, 4 Ti 2.10

# 11
Computed, not measured: an optimized crystal structure of V2CrRhC at the PBE-GGA level of DFT.

## Properties
The formation energy is -0.2105 eV/atom. The density of states at the Fermi level is 4.33 states/eV/cell.

a = 3.9601 Å, b = 3.9601 Å, c = 3.8304 Å
α = 90.00°, β = 90.00°, γ = 90.00°
Last column: nearest neighbours and their distance in Å.
Fractional coordinates of all 5 atoms:
V 0.0000 0.5000 0.0000  2 C 1.98
V 0.5000 0.0000 0.0000  2 C 1.98
Cr 0.0000 0.0000 0.5000  2 C 1.92
Rh 0.5000 0.5000 0.5000  8 V 2.75, 4 Cr 2.80
C 0.0000 0.0000 0.0000  2 Cr 1.92, 4 V 1.98

# 12
Computed, not measured: an optimized crystal structure of VCr2RhC at the PBE-GGA level of DFT.

## Properties
The formation energy is -0.1127 eV/atom. The density of states at the Fermi level is 4.36 states/eV/cell.

a = 3.8375 Å, b = 3.8375 Å, c = 3.9639 Å
α = 90.00°, β = 90.00°, γ = 90.00°
Last column: nearest neighbours and their distance in Å.
Fractional coordinates of all 5 atoms:
V 0.0000 0.0000 0.0000  2 C 1.98
Cr 0.0000 0.5000 0.5000  2 C 1.92
Cr 0.5000 0.0000 0.5000  2 C 1.92
Rh 0.5000 0.5000 0.0000  4 V 2.71, 8 Cr 2.76
C 0.0000 0.0000 0.5000  4 Cr 1.92, 2 V 1.98

# 13
Computed, not measured: an optimized crystal structure of YCrRh2C at the PBE-GGA level of DFT.

## Properties
The formation energy is -0.2470 eV/atom. The density of states at the Fermi level is 4.11 states/eV/cell.

a = 4.2554 Å, b = 4.2554 Å, c = 4.0274 Å
α = 90.00°, β = 90.00°, γ = 90.00°
Last column: nearest neighbours and their distance in Å.
Fractional coordinates of all 5 atoms:
Y 0.0000 0.0000 0.0000  8 Rh 2.93, 4 Cr 3.01
Cr 0.5000 0.5000 0.0000  2 C 2.01
Rh 0.0000 0.5000 0.5000  2 C 2.13
Rh 0.5000 0.0000 0.5000  2 C 2.13
C 0.5000 0.5000 0.5000  2 Cr 2.01, 4 Rh 2.13

# 14
Computed, not measured: an optimized crystal structure of ZnCrRh2C at the PBE-GGA level of DFT.

## Properties
The formation energy is 1.8087 eV/atom. The density of states at the Fermi level is 10.92 states/eV/cell.

a = 4.6868 Å, b = 4.6868 Å, c = 3.4709 Å
α = 90.00°, β = 90.00°, γ = 90.00°
Last column: nearest neighbours and their distance in Å.
Fractional coordinates of all 5 atoms:
Zn 0.0000 0.0000 0.0000  2 C 1.74
Cr 0.5000 0.5000 0.5000  8 Rh 2.92
Rh 0.0000 0.5000 0.0000  2 Zn 2.34
Rh 0.5000 0.0000 0.0000  2 Zn 2.34
C 0.0000 0.0000 0.5000  2 Zn 1.74

# 15
Computed, not measured: an optimized crystal structure of Cr3RuC at the PBE-GGA level of DFT.

## Properties
The formation energy is 0.0688 eV/atom. The offset from the most stable computed form is 0 meV per atom. The density of states at the Fermi level is 6.05 states/eV/cell.

a = 3.8328 Å, b = 3.8328 Å, c = 3.8328 Å
α = 90.00°, β = 90.00°, γ = 90.00°
Last column: nearest neighbours and their distance in Å.
Fractional coordinates of all 5 atoms:
Cr 0.0000 0.0000 0.5000  2 C 1.92
Cr 0.0000 0.5000 0.0000  2 C 1.92
Cr 0.5000 0.0000 0.0000  2 C 1.92
Ru 0.5000 0.5000 0.5000  12 Cr 2.71
C 0.0000 0.0000 0.0000  6 Cr 1.92

# 16
Computed, not measured: an optimized crystal structure of Cr3RuC at the PBE-GGA level of DFT.

## Properties
The formation energy is 2.3601 eV/atom. The offset from the most stable computed form is 2291 meV per atom. The density of states at the Fermi level is 5.48 states/eV/cell.

a = 4.6296 Å, b = 4.6296 Å, c = 4.6296 Å
α = 90.00°, β = 90.00°, γ = 90.00°
Last column: nearest neighbours and their distance in Å.
Fractional coordinates of all 5 atoms:
Cr 0.0000 0.0000 0.5000  2 Ru 2.31
Cr 0.0000 0.5000 0.0000  2 Ru 2.31
Cr 0.5000 0.0000 0.0000  2 Ru 2.31
Ru 0.0000 0.0000 0.0000  6 Cr 2.31
C 0.5000 0.5000 0.5000  12 Cr 3.27

# 17
Computed, not measured: an optimized crystal structure of CrRuC at the PBE-GGA level of DFT.

## Properties
The formation energy is 0.1767 eV/atom. The density of states at the Fermi level is 5.33 states/eV/cell.

a = 3.9597 Å, b = 3.9597 Å, c = 4.1016 Å
α = 90.00°, β = 90.00°, γ = 90.00°
Last column: nearest neighbours and their distance in Å.
Fractional coordinates of all 6 atoms:
Cr 0.2500 0.2500 0.0431  4 C 1.99
Cr 0.7500 0.7500 0.9569  4 C 1.99
Ru 0.2500 0.7500 0.5000  2 C 2.05
Ru 0.7500 0.2500 0.5000  2 C 2.05
C 0.2500 0.7500 0.0000  4 Cr 1.99, 2 Ru 2.05
C 0.7500 0.2500 0.0000  4 Cr 1.99, 2 Ru 2.05

# 18
Computed, not measured: an optimized crystal structure of CrRuC2 at the PBE-GGA level of DFT.

## Properties
The formation energy is 0.9465 eV/atom. The offset from the most stable computed form is 383 meV per atom. The density of states at the Fermi level is 14.12 states/eV/cell.

a = 5.1994 Å, b = 5.1994 Å, c = 5.1994 Å
α = 90.00°, β = 90.00°, γ = 90.00°
Last column: nearest neighbours and their distance in Å.
Fractional coordinates of all 16 atoms:
Cr 0.0000 0.0000 0.0000  8 C 2.25
Cr 0.0000 0.5000 0.5000  8 C 2.25
Cr 0.5000 0.0000 0.5000  8 C 2.25
Cr 0.5000 0.5000 0.0000  8 C 2.25
Ru 0.0000 0.0000 0.5000  8 C 2.25
Ru 0.0000 0.5000 0.0000  8 C 2.25
Ru 0.5000 0.0000 0.0000  8 C 2.25
Ru 0.5000 0.5000 0.5000  8 C 2.25
C 0.2500 0.2500 0.2500  4 Cr 2.25, 4 Ru 2.25
C 0.2500 0.2500 0.7500  4 Cr 2.25, 4 Ru 2.25
C 0.2500 0.7500 0.2500  4 Cr 2.25, 4 Ru 2.25
C 0.2500 0.7500 0.7500  4 Cr 2.25, 4 Ru 2.25
C 0.7500 0.2500 0.2500  4 Cr 2.25, 4 Ru 2.25
C 0.7500 0.2500 0.7500  4 Cr 2.25, 4 Ru 2.25
C 0.7500 0.7500 0.2500  4 Cr 2.25, 4 Ru 2.25
C 0.7500 0.7500 0.7500  4 Cr 2.25, 4 Ru 2.25

# 19
Computed, not measured: an optimized crystal structure of CrRuC2 at the PBE-GGA level of DFT.

## Properties
The formation energy is 0.5638 eV/atom. The offset from the most stable computed form is 0 meV per atom. The density of states at the Fermi level is 21.62 states/eV/cell.

a = 4.4862 Å, b = 4.4862 Å, c = 8.9757 Å
α = 90.00°, β = 90.00°, γ = 90.00°
Last column: nearest neighbours and their distance in Å.
Fractional coordinates of all 16 atoms:
Cr 0.0000 0.0000 0.0000  4 C 1.91
Cr 0.0000 0.5000 0.2500  4 C 1.91
Cr 0.5000 0.0000 0.7500  4 C 1.91
Cr 0.5000 0.5000 0.5000  4 C 1.91
Ru 0.0000 0.0000 0.5000  4 C 1.97
Ru 0.0000 0.5000 0.7500  4 C 1.97
Ru 0.5000 0.0000 0.2500  4 C 1.97
Ru 0.5000 0.5000 0.0000  4 C 1.97
C 0.2383 0.2500 0.1250  2 Cr 1.91, 2 Ru 1.97
C 0.2500 0.7383 0.3750  2 Cr 1.91, 2 Ru 1.97
C 0.2500 0.7617 0.8750  2 Cr 1.91, 2 Ru 1.97
C 0.2617 0.2500 0.6250  2 Cr 1.91, 2 Ru 1.97
C 0.7383 0.7500 0.6250  2 Cr 1.91, 2 Ru 1.97
C 0.7500 0.2383 0.8750  2 Cr 1.91, 2 Ru 1.97
C 0.7500 0.2617 0.3750  2 Cr 1.91, 2 Ru 1.97
C 0.7617 0.7500 0.1250  2 Cr 1.91, 2 Ru 1.97

# 20
Computed, not measured: an optimized crystal structure of CrRuC at the PBE-GGA level of DFT.

## Properties
The formation energy is 0.6378 eV/atom. The density of states at the Fermi level is 1.49 states/eV/cell.

a = 3.6378 Å, b = 3.6378 Å, c = 2.7351 Å
α = 90.00°, β = 90.00°, γ = 120.00°
Last column: nearest neighbours and their distance in Å.
Fractional coordinates of all 3 atoms:
Cr 0.0000 0.0000 0.0000  3 C 2.10
Ru 0.3333 0.6667 0.4719  6 C 2.44-2.58, 6 Cr 2.47-2.55
C 0.6667 0.3333 0.0203  3 Cr 2.10